[1]
Here is a relaxed Li2MgHPb crystal from Alexandria via LeMat-Bulk. Energies are from PBE.

Lattice parameters (Å, degrees): 4.375 4.375 4.648 90.00 90.00 90.00
Positions (direct):
Pb 0.000 0.000 0.500
Mg 0.500 0.500 0.500
Li 0.500 0.000 0.000
Li 0.000 0.500 0.000
H 0.000 0.000 0.000

**Energy above the most stable polymorph in this dataset**: 166 meV per atom

[2]
Here is a relaxed LiMgHPb2 crystal from Alexandria via LeMat-Bulk. Energies are from PBE.

Lattice parameters (Å, degrees): 5.327 5.327 3.643 90.00 90.00 90.00
Positions (direct):
Pb 0.000 0.500 0.000
Pb 0.500 0.000 0.000
H 0.000 0.000 0.000
Li 0.000 0.000 0.500
Mg 0.500 0.500 0.500

**Total energy**: -2.87 eV per atom

[3]
Here is a relaxed Li2MgHPb crystal from Alexandria via LeMat-Bulk. Energies are from PBE.

Lattice parameters (Å, degrees): 4.328 4.328 4.335 90.00 90.00 90.00
Positions (direct):
Li 0.500 0.000 0.000
Li 0.000 0.500 0.000
H 0.000 0.000 0.000
Mg 0.000 0.000 0.500
Pb 0.500 0.500 0.500

**Energy above the most stable polymorph in this dataset**: 0 meV per atom

[4]
Here is a relaxed Li2MgH4Pd crystal from Alexandria via LeMat-Bulk. Energies are from PBE.

Lattice parameters (Å, degrees): 3.008 5.142 10.517 90.00 90.00 107.00
Positions (direct):
Li 0.622 0.245 0.046
Li 0.622 0.245 0.454
Li 0.378 0.755 0.546
Li 0.378 0.755 0.954
H 0.311 0.621 0.123
H 0.000 0.000 0.000
H 0.689 0.379 0.877
H 0.311 0.621 0.377
H 0.421 0.842 0.750
H 0.000 0.000 0.500
H 0.579 0.158 0.250
H 0.689 0.379 0.623
Pd 0.811 0.622 0.750
Pd 0.189 0.378 0.250
Mg 0.088 0.175 0.750
Mg 0.912 0.825 0.250

**Total energy**: -3.31 eV per atom